(1)
CoReAg2 SCAN single point on PBEsol structure; crystal system = orthorhombic; calculated formation energy = 2.61 eV per formula unit
1.0
2.6745 0.0000 0.0000
0.0000 4.5586 0.0000
0.0000 0.0000 4.8035
Co Re Ag
1 1 2
Direct
0.0000 0.0000 0.0000
0.5000 0.5000 0.0000
0.0000 0.5000 0.5000
0.5000 0.0000 0.5000


(2)
CoRe2Ag SCAN single point on PBEsol structure; crystal system = tetragonal; calculated formation energy = 2.22 eV per formula unit
1.0
3.8620 0.0000 0.0000
0.0000 3.8620 0.0000
0.0000 0.0000 7.3755
Co Re Ag
2 4 2
Direct
0.0000 0.0000 0.0000
0.5000 0.5000 0.5000
0.0000 0.0000 0.5000
0.0000 0.5000 0.7500
0.5000 0.0000 0.2500
0.5000 0.5000 0.0000
0.0000 0.5000 0.2500
0.5000 0.0000 0.7500


(3)
CoReAg2 SCAN single point on PBEsol structure; crystal system = tetragonal; calculated formation energy = 3.38 eV per formula unit
1.0
3.6833 0.0000 0.0000
0.0000 3.6833 0.0000
0.0000 0.0000 4.2848
Co Re Ag
1 1 2
Direct
0.0000 0.0000 0.0000
0.5000 0.5000 0.0000
0.0000 0.5000 0.5000
0.5000 0.0000 0.5000


(4)
CoReAg2 SCAN single point on PBEsol structure; crystal system = orthorhombic; calculated formation energy = 1.45 eV per formula unit
1.0
2.9138 0.0000 0.0000
0.0000 4.4351 0.0000
0.0000 0.0000 9.0663
Co Re Ag
2 2 4
Direct
0.0000 0.0000 0.0000
0.5000 0.5000 0.0000
0.0000 0.5000 0.7860
0.5000 0.0000 0.7860
0.0000 0.0000 0.5144
0.0000 0.5000 0.2458
0.5000 0.0000 0.2458
0.5000 0.5000 0.5144


(5)
Co2ReAg SCAN single point on PBEsol structure; crystal system = orthorhombic; calculated formation energy = 1.94 eV per formula unit
1.0
5.4027 0.0000 0.0000
0.0000 7.1471 0.0000
0.0000 0.0000 2.6214
Co Re Ag
4 2 2
Direct
0.2500 0.2500 0.0000
0.2500 0.7500 0.0000
0.7500 0.2500 0.0000
0.7500 0.7500 0.0000
0.0000 0.0000 0.5000
0.5000 0.5000 0.5000
0.0000 0.5000 0.5000
0.5000 0.0000 0.5000


(6)
CoReAg2 SCAN single point on PBEsol structure; crystal system = monoclinic; calculated formation energy = 2.69 eV per formula unit
1.0
2.6055 0.0000 0.0000
0.0000 4.6974 0.0000
-0.3515 0.0000 4.7441
Co Re Ag
1 1 2
Direct
0.0000 0.0000 0.0000
0.5000 0.0000 0.5000
0.2223 0.5000 0.7535
0.7777 0.5000 0.2465


(7)
CoReAg2 SCAN single point on PBEsol structure; crystal system = monoclinic; calculated formation energy = 2.48 eV per formula unit
1.0
9.4226 0.0000 0.0000
0.0000 2.6476 0.0000
-0.7677 0.0000 4.6070
Co Re Ag
2 2 4
Direct
0.0000 0.0000 0.0000
0.5000 0.5000 0.0000
0.0000 0.5000 0.5000
0.5000 0.0000 0.5000
0.2467 0.5000 0.2470
0.2533 0.0000 0.7530
0.7467 0.0000 0.2470
0.7533 0.5000 0.7530


(8)
CoReTcAg2 SCAN single point on PBEsol structure; crystal system = tetragonal; calculated formation energy = 10.05 eV per formula unit
1.0
4.8890 0.0000 0.0000
0.0000 4.8890 0.0000
0.0000 0.0000 4.4823
Co Re Tc Ag
1 1 1 2
Direct
0.0000 0.0000 0.0000
0.5000 0.5000 0.0000
0.5000 0.5000 0.5000
0.0000 0.5000 0.5000
0.5000 0.0000 0.5000


(9)
Co4AgRh SCAN single point on PBEsol structure; crystal system = cubic; calculated formation energy = 0.99 eV per formula unit
1.0
0.0000 3.3075 3.3075
3.3075 0.0000 3.3075
3.3075 3.3075 0.0000
Co Ag Rh
4 1 1
Direct
0.1250 0.1250 0.1250
0.1250 0.1250 0.6250
0.1250 0.6250 0.1250
0.6250 0.1250 0.1250
0.5000 0.5000 0.5000
0.7500 0.7500 0.7500


(10)
CoAgRh2 SCAN single point on PBEsol structure; crystal system = cubic; calculated formation energy = 1.29 eV per formula unit
1.0
6.0475 0.0000 0.0000
0.0000 6.0475 0.0000
0.0000 0.0000 6.0475
Co Ag Rh
4 4 8
Direct
0.0000 0.0000 0.0000
0.0000 0.5000 0.5000
0.5000 0.0000 0.5000
0.5000 0.5000 0.0000
0.2500 0.2500 0.2500
0.2500 0.7500 0.7500
0.7500 0.2500 0.7500
0.7500 0.7500 0.2500
0.0000 0.0000 0.5000
0.0000 0.5000 0.0000
0.2500 0.2500 0.7500
0.2500 0.7500 0.2500
0.5000 0.0000 0.0000
0.5000 0.5000 0.5000
0.7500 0.2500 0.2500
0.7500 0.7500 0.7500


(11)
CoAg2Rh SCAN single point on PBEsol structure; crystal system = tetragonal; calculated formation energy = 1.53 eV per formula unit
1.0
2.6699 0.0000 0.0000
0.0000 2.6699 0.0000
0.0000 0.0000 8.0090
Co Ag Rh
1 2 1
Direct
0.0000 0.0000 0.0000
0.5000 0.5000 0.2396
0.5000 0.5000 0.7604
0.0000 0.0000 0.5000


(12)
CoAgRh2 SCAN single point on PBEsol structure; crystal system = trigonal; calculated formation energy = 0.44 eV per formula unit
1.0
2.6753 0.0000 0.0000
-1.3376 2.3168 0.0000
0.0000 0.0000 26.2995
Co Ag Rh
3 3 6
Direct
0.0000 0.0000 0.0000
0.3333 0.6667 0.6667
0.6667 0.3333 0.3333
0.0000 0.0000 0.5000
0.3333 0.6667 0.1667
0.6667 0.3333 0.8333
0.0000 0.0000 0.2571
0.0000 0.0000 0.7429
0.3333 0.6667 0.4096
0.3333 0.6667 0.9238
0.6667 0.3333 0.0762
0.6667 0.3333 0.5904


(13)
Co2TcAgRh SCAN single point on PBEsol structure; crystal system = tetragonal; calculated formation energy = 7.68 eV per formula unit
1.0
4.3731 0.0000 0.0000
0.0000 4.3731 0.0000
0.0000 0.0000 4.8165
Co Tc Ag Rh
2 1 1 1
Direct
0.0000 0.5000 0.0000
0.5000 0.0000 0.0000
0.0000 0.0000 0.5000
0.5000 0.5000 0.5000
0.5000 0.5000 0.0000


(14)
Co2AgRu SCAN single point on PBEsol structure; crystal system = trigonal; calculated formation energy = 1.40 eV per formula unit
1.0
2.6243 0.0000 0.0000
-1.3122 2.2727 0.0000
0.0000 0.0000 25.6882
Co Ag Ru
6 3 3
Direct
0.0000 0.0000 0.0000
0.0000 0.0000 0.2605
0.3333 0.6667 0.6667
0.3333 0.6667 0.9272
0.6667 0.3333 0.3333
0.6667 0.3333 0.5939
0.0000 0.0000 0.5058
0.3333 0.6667 0.1724
0.6667 0.3333 0.8391
0.0000 0.0000 0.7444
0.3333 0.6667 0.4111
0.6667 0.3333 0.0777


(15)
Co3AgRu SCAN single point on PBEsol structure; crystal system = cubic; calculated formation energy = 7.39 eV per formula unit
1.0
4.3182 0.0000 0.0000
0.0000 4.3182 0.0000
0.0000 0.0000 4.3182
Co Ag Ru
3 1 1
Direct
0.0000 0.0000 0.5000
0.0000 0.5000 0.0000
0.5000 0.0000 0.0000
0.5000 0.5000 0.5000
0.0000 0.0000 0.0000


(16)
Co2AgRu SCAN single point on PBEsol structure; crystal system = tetragonal; calculated formation energy = 1.56 eV per formula unit
1.0
3.9464 0.0000 0.0000
0.0000 3.9464 0.0000
0.0000 0.0000 3.2874
Co Ag Ru
2 1 1
Direct
0.0000 0.5000 0.0000
0.5000 0.0000 0.0000
0.0000 0.0000 0.5000
0.5000 0.5000 0.5000


(17)
CoAgRu2S SCAN single point on PBEsol structure; crystal system = tetragonal; raw formation energy = 201 kJ/mol of atoms
1.0
4.7683 0.0000 0.0000
0.0000 4.7683 0.0000
0.0000 0.0000 4.4839
Co Ag Ru S
1 1 2 1
Direct
0.0000 0.0000 0.0000
0.0000 0.0000 0.5000
0.0000 0.5000 0.5000
0.5000 0.0000 0.5000
0.5000 0.5000 0.0000


(18)
CoAgSb2 SCAN single point on PBEsol structure; crystal system = tetragonal; raw formation energy = 28 kJ/mol of atoms
1.0
3.1058 0.0000 0.0000
0.0000 3.1058 0.0000
0.0000 0.0000 7.7393
Co Ag Sb
1 1 2
Direct
0.0000 0.0000 0.0000
0.0000 0.0000 0.5000
0.5000 0.5000 0.2069
0.5000 0.5000 0.7931


(19)
CoAgSb2 SCAN single point on PBEsol structure; crystal system = orthorhombic; raw formation energy = 19 kJ/mol of atoms
1.0
3.1125 0.0000 0.0000
0.0000 3.9435 0.0000
0.0000 0.0000 12.6555
Co Ag Sb
2 2 4
Direct
0.0000 0.0000 0.0000
0.0000 0.5000 0.5000
0.5000 0.0000 0.1868
0.5000 0.5000 0.6868
0.0000 0.0000 0.8044
0.0000 0.5000 0.3044
0.5000 0.0000 0.5168
0.5000 0.5000 0.0168


(20)
CoAgSb2 SCAN single point on PBEsol structure; crystal system = cubic; raw formation energy = 68 kJ/mol of atoms
1.0
6.7770 0.0000 0.0000
0.0000 6.7770 0.0000
0.0000 0.0000 6.7770
Co Ag Sb
4 4 8
Direct
0.0000 0.0000 0.0000
0.0000 0.5000 0.5000
0.5000 0.0000 0.5000
0.5000 0.5000 0.0000
0.2500 0.2500 0.2500
0.2500 0.7500 0.7500
0.7500 0.2500 0.7500
0.7500 0.7500 0.2500
0.0000 0.0000 0.5000
0.0000 0.5000 0.0000
0.2500 0.2500 0.7500
0.2500 0.7500 0.2500
0.5000 0.0000 0.0000
0.5000 0.5000 0.5000
0.7500 0.2500 0.2500
0.7500 0.7500 0.7500


(21)
CoAgSb3 SCAN single point on PBEsol structure; crystal system = cubic; raw formation energy = 48 kJ/mol of atoms
1.0
4.8688 0.0000 0.0000
0.0000 4.8688 0.0000
0.0000 0.0000 4.8688
Co Ag Sb
1 1 3
Direct
0.0000 0.0000 0.0000
0.5000 0.5000 0.5000
0.0000 0.0000 0.5000
0.0000 0.5000 0.0000
0.5000 0.0000 0.0000


(22)
CoAgSb2 SCAN single point on PBEsol structure; crystal system = monoclinic; raw formation energy = 26 kJ/mol of atoms
1.0
9.4148 0.0000 0.0000
0.0000 3.0784 0.0000
-2.2331 0.0000 5.7543
Co Ag Sb
2 2 4
Direct
0.0000 0.0000 0.0000
0.5000 0.5000 0.0000
0.2284 0.5000 0.0028
0.7284 0.0000 0.0028
0.0542 0.5000 0.3360
0.3780 0.0000 0.6686
0.5542 0.0000 0.3360
0.8780 0.5000 0.6686


(23)
SrCo2AgSb SCAN single point on PBEsol structure; crystal system = tetragonal; raw formation energy = 64 kJ/mol of atoms
1.0
4.7209 0.0000 0.0000
0.0000 4.7209 0.0000
0.0000 0.0000 6.0794
Sr Co Ag Sb
1 2 1 1
Direct
0.0000 0.0000 0.0000
0.0000 0.5000 0.5000
0.5000 0.0000 0.5000
0.5000 0.5000 0.0000
0.0000 0.0000 0.5000


(24)
YCoAg2Sb SCAN single point on PBEsol structure; crystal system = tetragonal; raw formation energy = 4 kJ/mol of atoms
1.0
4.7871 0.0000 0.0000
0.0000 4.7871 0.0000
0.0000 0.0000 4.6262
Y Co Ag Sb
1 1 2 1
Direct
0.0000 0.0000 0.0000
0.5000 0.5000 0.5000
0.0000 0.5000 0.5000
0.5000 0.0000 0.5000
0.5000 0.5000 0.0000


(25)
Sc2CoAg SCAN single point on PBEsol structure; crystal system = tetragonal; calculated formation energy = -1.52 eV per formula unit
1.0
3.1063 0.0000 0.0000
0.0000 3.1063 0.0000
0.0000 0.0000 7.0186
Sc Co Ag
2 1 1
Direct
0.0000 0.0000 0.2161
0.0000 0.0000 0.7839
0.5000 0.5000 0.0000
0.5000 0.5000 0.5000


(26)
Sc2CoAg SCAN single point on PBEsol structure; crystal system = trigonal; calculated formation energy = 0.90 eV per formula unit
1.0
3.0897 0.0000 0.0000
-1.5448 2.6757 0.0000
0.0000 0.0000 27.0185
Sc Co Ag
6 3 3
Direct
0.0000 0.0000 0.1024
0.0000 0.0000 0.8976
0.3333 0.6667 0.5643
0.3333 0.6667 0.7691
0.6667 0.3333 0.2309
0.6667 0.3333 0.4357
0.0000 0.0000 0.5000
0.3333 0.6667 0.1667
0.6667 0.3333 0.8333
0.0000 0.0000 0.0000
0.3333 0.6667 0.6667
0.6667 0.3333 0.3333


(27)
ScCo2Ag SCAN single point on PBEsol structure; crystal system = tetragonal; calculated formation energy = -0.12 eV per formula unit
1.0
2.9692 0.0000 0.0000
0.0000 2.9692 0.0000
0.0000 0.0000 6.5462
Sc Co Ag
1 2 1
Direct
0.0000 0.0000 0.0000
0.0000 0.0000 0.5739
0.5000 0.5000 0.7394
0.5000 0.5000 0.3159


(28)
ScCo2Ag SCAN single point on PBEsol structure; crystal system = cubic; calculated formation energy = 0.21 eV per formula unit
1.0
6.1136 0.0000 0.0000
0.0000 6.1136 0.0000
0.0000 0.0000 6.1136
Sc Co Ag
4 8 4
Direct
0.0000 0.0000 0.0000
0.0000 0.5000 0.5000
0.5000 0.0000 0.5000
0.5000 0.5000 0.0000
0.0000 0.0000 0.5000
0.0000 0.5000 0.0000
0.2500 0.2500 0.7500
0.2500 0.7500 0.2500
0.5000 0.0000 0.0000
0.5000 0.5000 0.5000
0.7500 0.2500 0.2500
0.7500 0.7500 0.7500
0.2500 0.2500 0.2500
0.2500 0.7500 0.7500
0.7500 0.2500 0.7500
0.7500 0.7500 0.2500


(29)
CoAg4Se SCAN single point on PBEsol structure; crystal system = cubic; raw formation energy = 49 kJ/mol of atoms
1.0
0.0000 3.7603 3.7603
3.7603 0.0000 3.7603
3.7603 3.7603 0.0000
Co Ag Se
1 4 1
Direct
0.0000 0.0000 0.0000
0.1236 0.6255 0.6255
0.6255 0.1236 0.6255
0.6255 0.6255 0.1236
0.6255 0.6255 0.6255
0.2500 0.2500 0.2500


(30)
CoAgSe2 SCAN single point on PBEsol structure; crystal system = cubic; raw formation energy = 35 kJ/mol of atoms
1.0
6.3272 0.0000 0.0000
0.0000 6.3272 0.0000
0.0000 0.0000 6.3272
Co Ag Se
4 4 8
Direct
0.0000 0.0000 0.0000
0.0000 0.5000 0.5000
0.5000 0.0000 0.5000
0.5000 0.5000 0.0000
0.0000 0.0000 0.5000
0.0000 0.5000 0.0000
0.5000 0.0000 0.0000
0.5000 0.5000 0.5000
0.2500 0.2500 0.2500
0.2500 0.2500 0.7500
0.2500 0.7500 0.2500
0.2500 0.7500 0.7500
0.7500 0.2500 0.2500
0.7500 0.2500 0.7500
0.7500 0.7500 0.2500
0.7500 0.7500 0.7500


no.,DFT total energy (eV/atom)
1,-37.133
2,-47.161
3,-36.938
4,-37.422
5,-33.783
6,-37.112
7,-37.163
8,-35.230
9,-22.228
10,-28.731
11,-28.071
12,-28.944
13,-25.425
14,-24.850
15,-22.142
16,-24.811
17,-23.512
18,-30.506
19,-30.604
20,-30.095
21,-31.589
22,-30.528
23,-24.437
24,-28.989
25,-19.666
26,-19.062
27,-20.083
28,-19.999
29,-26.630
30,-21.841